This record from the Alexandria database describes a relaxed structure of Ac3Pr3TmS8. The functional is PBE.

Values from the calculation:
Raw formation energy (eV per formula unit): -30.6

```
data_Ac3Pr3TmS8
_symmetry_space_group_name_H-M 'R -3 m'
_symmetry_Int_Tables_number 166
_symmetry_space_group_name_Hall '-R 3 2"'
_cell_length_a 8.2847
_cell_length_b 8.2847
_cell_length_c 20.7913
_cell_angle_alpha 90.00
_cell_angle_beta 90.00
_cell_angle_gamma 120.00
loop_
_atom_site_label
_atom_site_type_symbol
_atom_site_fract_x
_atom_site_fract_y
_atom_site_fract_z
Ac1 Ac 0.0000 0.5000 0.0000
Pr1 Pr 0.0000 0.5000 0.5000
Tm1 Tm 0.0000 0.0000 0.5000
S1 S 0.0000 0.0000 0.2463
S2 S 0.0169 0.5084 0.2423
```

=====

This record from the Alexandria database describes a relaxed structure of ThBeCuN. The functional is PBE.

Values from the calculation:
Raw formation energy (eV per formula unit): -3.4

```
data_ThBeCuN
_symmetry_space_group_name_H-M 'P 4/n m m'
_symmetry_Int_Tables_number 129
_cell_length_a 3.6839
_cell_length_b 3.6839
_cell_length_c 8.2976
_cell_angle_alpha 90.00
_cell_angle_beta 90.00
_cell_angle_gamma 90.00
loop_
_symmetry_equiv_pos_as_xyz
'x,y,z'
'-x,-y,-z'
'-y+1/2,x,z'
'y+1/2,-x,-z'
'-x+1/2,-y+1/2,z'
'x+1/2,y+1/2,-z'
'y,-x+1/2,z'
'-y,x+1/2,-z'
'x+1/2,-y,-z'
'-x+1/2,y,z'
'-y,-x,-z'
'y,x,z'
'-x,y+1/2,-z'
'x,-y+1/2,z'
'y+1/2,x+1/2,-z'
'-y+1/2,-x+1/2,z'
loop_
_atom_site_label
_atom_site_type_symbol
_atom_site_fract_x
_atom_site_fract_y
_atom_site_fract_z
Th1 Th 0.2500 0.2500 0.1637
Be1 Be 0.2500 0.2500 0.6690
Cu1 Cu 0.2500 0.7500 0.5000
N1 N 0.2500 0.2500 0.8679
```

=====

This record from the Alexandria database describes a relaxed structure of V3Ni3Pt4. The functional is PBE.

Values from the calculation:
ΔH_f (0 K) (eV per atom): -0.07

```
data_V3Ni3Pt4
_symmetry_space_group_name_H-M 'I -4 3 d'
_symmetry_Int_Tables_number 220
_symmetry_space_group_name_Hall 'I -4bd 2c 3'
_cell_length_a 8.3111
_cell_length_b 8.3111
_cell_length_c 8.3111
_cell_angle_alpha 90.00
_cell_angle_beta 90.00
_cell_angle_gamma 90.00
loop_
_atom_site_label
_atom_site_type_symbol
_atom_site_fract_x
_atom_site_fract_y
_atom_site_fract_z
V1 V 0.0000 0.2500 0.8750
Ni1 Ni 0.0000 0.2500 0.3750
Pt1 Pt 0.1234 0.3766 0.6234
```

=====

This record from the Alexandria database describes a relaxed structure of PrGdPb. The functional is PBE.

Values from the calculation:
ΔH_f (0 K) (eV per atom): -0.30

```
data_PrGdPb
_symmetry_space_group_name_H-M 'I 4 m m'
_symmetry_Int_Tables_number 107
_symmetry_space_group_name_Hall 'I 4 -2'
_cell_length_a 3.6607
_cell_length_b 3.6607
_cell_length_c 14.4513
_cell_angle_alpha 90.00
_cell_angle_beta 90.00
_cell_angle_gamma 90.00
loop_
_atom_site_label
_atom_site_type_symbol
_atom_site_fract_x
_atom_site_fract_y
_atom_site_fract_z
Pr1 Pr 0.0000 0.0000 0.0000
Gd1 Gd 0.0000 0.0000 0.3090
Pb1 Pb 0.0000 0.0000 0.6582
```